A | The following is a PBE-GGA calculation of a relaxed Cs2RbLiPd crystal, from Alexandria via LeMat-Bulk.

Cell: 7.3516 7.3516 4.9130 Å, 90.00 90.00 90.00°
Closest atoms and distances in Å follow each position.
Sites, in units of the cell vectors:
Cs  0.0000  0.5000  0.0000  2 Li 3.68
Cs  0.5000  0.0000  0.0000  2 Li 3.68
Rb  0.0000  0.0000  0.5000  8 Cs 4.42, 2 Rb 4.91
Li  0.5000  0.5000  0.0000  2 Pd 2.46
Pd  0.5000  0.5000  0.5000  2 Li 2.46

Properties
Total magnetic moment, μB/cell: 0.0
V, Å³/f.u.: 265.53

B | The following is a PBE-GGA calculation of a relaxed Cs2RbLiPd crystal, from Alexandria via LeMat-Bulk.

Cell: 7.1644 7.1644 5.3029 Å, 90.00 90.00 90.00°
Closest atoms and distances in Å follow each position.
Sites, in units of the cell vectors:
Cs  0.0000  0.5000  0.0000  2 Pd 3.58
Cs  0.5000  0.0000  0.0000  2 Pd 3.58
Rb  0.0000  0.0000  0.5000  8 Cs 4.46
Li  0.5000  0.5000  0.5000  2 Pd 2.65
Pd  0.5000  0.5000  0.0000  2 Li 2.65

Properties
Total magnetic moment, μB/cell: 0.0
V, Å³/f.u.: 272.19

Top of the stability list: B, leading by 58 meV per atom.

A | The following is a PBE-GGA calculation of a relaxed CsLi3Pt crystal, from Alexandria via LeMat-Bulk.

Cell: 4.9054 4.9054 4.9054 Å, 90.00 90.00 90.00°
Closest atoms and distances in Å follow each position.
Sites, in units of the cell vectors:
Cs  0.0000  0.0000  0.0000  6 Li 2.45
Li  0.0000  0.0000  0.5000  2 Cs 2.45
Li  0.0000  0.5000  0.0000  2 Cs 2.45
Li  0.5000  0.0000  0.0000  2 Cs 2.45
Pt  0.5000  0.5000  0.5000  12 Li 3.47

Properties
Total magnetic moment, μB/cell: 0.0
V, Å³/f.u.: 118.04

B | The following is a PBE-GGA calculation of a relaxed CsLi3Pt crystal, from Alexandria via LeMat-Bulk.

Cell: 5.1259 5.1259 5.1259 Å, 90.00 90.00 90.00°
Closest atoms and distances in Å follow each position.
Sites, in units of the cell vectors:
Cs  0.0000  0.0000  0.0000  12 Li 3.62
Li  0.0000  0.5000  0.5000  2 Pt 2.56
Li  0.5000  0.0000  0.5000  2 Pt 2.56
Li  0.5000  0.5000  0.0000  2 Pt 2.56
Pt  0.5000  0.5000  0.5000  6 Li 2.56

Properties
Total magnetic moment, μB/cell: 0.0
V, Å³/f.u.: 134.68

Top of the stability list: B, leading by 1146 meV per atom.

A | The following is a PBE-GGA calculation of a relaxed CsLiPt3 crystal, from Alexandria via LeMat-Bulk.

Cell: 5.3125 5.3125 5.3125 Å, 90.00 90.00 90.00°
Closest atoms and distances in Å follow each position.
Sites, in units of the cell vectors:
Cs  0.0000  0.0000  0.0000  6 Pt 2.66
Li  0.5000  0.5000  0.5000  12 Pt 3.76
Pt  0.0000  0.0000  0.5000  2 Cs 2.66
Pt  0.0000  0.5000  0.0000  2 Cs 2.66
Pt  0.5000  0.0000  0.0000  2 Cs 2.66

Properties
Total magnetic moment, μB/cell: 0.0
V, Å³/f.u.: 149.93

B | The following is a PBE-GGA calculation of a relaxed CsLiPt3 crystal, from Alexandria via LeMat-Bulk.

Cell: 4.6663 4.6663 4.6663 Å, 90.00 90.00 90.00°
Closest atoms and distances in Å follow each position.
Sites, in units of the cell vectors:
Cs  0.0000  0.0000  0.0000  12 Pt 3.30
Li  0.5000  0.5000  0.5000  6 Pt 2.33
Pt  0.0000  0.5000  0.5000  2 Li 2.33
Pt  0.5000  0.0000  0.5000  2 Li 2.33
Pt  0.5000  0.5000  0.0000  2 Li 2.33

Properties
Total magnetic moment, μB/cell: 0.0
V, Å³/f.u.: 101.60

Top of the stability list: B, leading by 1047 meV per atom.

A | The following is a PBE-GGA calculation of a relaxed Cs2LiPtRh crystal, from Alexandria via LeMat-Bulk.

Cell: 5.6953 5.6953 4.9225 Å, 90.00 90.00 90.00°
Closest atoms and distances in Å follow each position.
Sites, in units of the cell vectors:
Cs  0.0000  0.5000  0.0000  2 Rh 2.85
Cs  0.5000  0.0000  0.0000  2 Rh 2.85
Li  0.0000  0.0000  0.5000  2 Rh 2.46
Pt  0.5000  0.5000  0.5000  8 Cs 3.76, 4 Li 4.03
Rh  0.0000  0.0000  0.0000  2 Li 2.46

Properties
Total magnetic moment, μB/cell: 0.5
V, Å³/f.u.: 159.67

B | The following is a PBE-GGA calculation of a relaxed Cs2LiPtRh crystal, from Alexandria via LeMat-Bulk.

Cell: 6.7203 6.7203 4.6890 Å, 90.00 90.00 90.00°
Closest atoms and distances in Å follow each position.
Sites, in units of the cell vectors:
Cs  0.0000  0.5000  0.0000  2 Pt 3.36
Cs  0.5000  0.0000  0.0000  2 Pt 3.36
Li  0.0000  0.0000  0.5000  2 Pt 2.34
Pt  0.0000  0.0000  0.0000  2 Li 2.34
Rh  0.5000  0.5000  0.5000  8 Cs 4.10

Properties
Total magnetic moment, μB/cell: 1.9
V, Å³/f.u.: 211.76

Top of the stability list: A, leading by 44 meV per atom.

A | The following is a PBE-GGA calculation of a relaxed CsRb2Li crystal, from Alexandria via LeMat-Bulk.

Cell: 4.9906 4.9906 12.3638 Å, 90.00 90.00 90.00°
Closest atoms and distances in Å follow each position.
Sites, in units of the cell vectors:
Cs  0.0000  0.0000  0.0000  4 Cs 4.99, 8 Rb 5.28
Rb  0.5000  0.5000  0.3173  4 Li 4.19, 1 Rb 4.52
Rb  0.5000  0.5000  0.6827  4 Li 4.19, 1 Rb 4.52
Li  0.0000  0.0000  0.5000  8 Rb 4.19

Properties
Total magnetic moment, μB/cell: 0.0
V, Å³/f.u.: 307.93

B | The following is a PBE-GGA calculation of a relaxed CsRb2Li crystal, from Alexandria via LeMat-Bulk.

Cell: 6.5489 6.5489 7.0097 Å, 90.00 90.00 90.00°
Closest atoms and distances in Å follow each position.
Sites, in units of the cell vectors:
Cs  0.0000  0.0000  0.0000  4 Li 4.63, 8 Rb 4.80
Rb  0.0000  0.5000  0.5000  4 Rb 4.63, 4 Li 4.80, 4 Cs 4.80
Rb  0.5000  0.0000  0.5000  4 Rb 4.63, 4 Li 4.80, 4 Cs 4.80
Li  0.5000  0.5000  0.0000  4 Cs 4.63, 8 Rb 4.80

Properties
Total magnetic moment, μB/cell: 0.0
V, Å³/f.u.: 300.64

Top of the stability list: A, leading by 25 meV per atom.

A | The following is a PBE-GGA calculation of a relaxed CsRb2Li crystal, from Alexandria via LeMat-Bulk.

Cell: 16.4790 16.4790 16.4790 Å, 157.88 157.88 31.48°
Closest atoms and distances in Å follow each position.
Sites, in units of the cell vectors:
Cs  0.0000  0.0000  0.0000  4 Li 4.47, 4 Rb 4.61
Cs  0.7500  0.2500  0.5000  4 Li 4.47, 4 Rb 4.61
Rb  0.1484  0.6250  0.0234  4 Rb 4.27-4.68, 2 Li 4.50, 2 Cs 4.61
Rb  0.3750  0.3984  0.5234  4 Rb 4.27-4.68, 2 Li 4.50, 2 Cs 4.61
Rb  0.6016  0.1250  0.9766  4 Rb 4.27-4.68, 2 Li 4.50, 2 Cs 4.61
Rb  0.8750  0.8516  0.4766  4 Rb 4.27-4.68, 2 Li 4.50, 2 Cs 4.61
Li  0.2500  0.7500  0.5000  4 Cs 4.47, 4 Rb 4.50
Li  0.5000  0.5000  0.0000  4 Cs 4.47, 4 Rb 4.50

Properties
Total magnetic moment, μB/cell: 0.0
V, Å³/f.u.: 316.99

B | The following is a PBE-GGA calculation of a relaxed CsRb2Li crystal, from Alexandria via LeMat-Bulk.

Cell: 7.4250 7.4250 7.4250 Å, 60.00 60.00 60.00°
Closest atoms and distances in Å follow each position.
Sites, in units of the cell vectors:
Cs  0.0000  0.0000  0.0000  8 Rb 4.55
Rb  0.2500  0.2500  0.2500  4 Li 4.55, 4 Cs 4.55
Rb  0.7500  0.7500  0.7500  4 Cs 4.55, 4 Li 4.55
Li  0.5000  0.5000  0.5000  8 Rb 4.55

Properties
Total magnetic moment, μB/cell: 0.0
V, Å³/f.u.: 289.45

Top of the stability list: B, leading by 57 meV per atom.

A | The following is a PBE-GGA calculation of a relaxed CsRbLi3 crystal, from Alexandria via LeMat-Bulk.

Cell: 6.8150 6.8150 6.8150 Å, 90.00 90.00 90.00°
Closest atoms and distances in Å follow each position.
Sites, in units of the cell vectors:
Cs  0.0000  0.0000  0.0000  6 Li 3.41
Rb  0.5000  0.5000  0.5000  12 Li 4.82
Li  0.0000  0.0000  0.5000  2 Cs 3.41
Li  0.0000  0.5000  0.0000  2 Cs 3.41
Li  0.5000  0.0000  0.0000  2 Cs 3.41

Properties
Total magnetic moment, μB/cell: 0.0
V, Å³/f.u.: 316.52

B | The following is a PBE-GGA calculation of a relaxed CsRbLi3 crystal, from Alexandria via LeMat-Bulk.

Cell: 6.8008 6.8008 6.8008 Å, 90.00 90.00 90.00°
Closest atoms and distances in Å follow each position.
Sites, in units of the cell vectors:
Cs  0.0000  0.0000  0.0000  12 Li 4.81
Rb  0.5000  0.5000  0.5000  6 Li 3.40
Li  0.0000  0.5000  0.5000  2 Rb 3.40
Li  0.5000  0.0000  0.5000  2 Rb 3.40
Li  0.5000  0.5000  0.0000  2 Rb 3.40

Properties
Total magnetic moment, μB/cell: 0.0
V, Å³/f.u.: 314.55

Top of the stability list: B, leading by 100 meV per atom.

A | The following is a PBE-GGA calculation of a relaxed Cs2RbLi2 crystal, from Alexandria via LeMat-Bulk.

Cell: 10.5542 10.5542 6.1485 Å, 90.00 90.00 90.00°
Closest atoms and distances in Å follow each position.
Sites, in units of the cell vectors:
Cs  0.1743  0.3257  0.0000  6 Li 4.32-4.51
Cs  0.3257  0.8257  0.0000  6 Li 4.32-4.51
Cs  0.6743  0.1743  0.0000  6 Li 4.32-4.51
Cs  0.8257  0.6743  0.0000  6 Li 4.32-4.51
Rb  0.0000  0.0000  0.5000  4 Li 4.32
Rb  0.5000  0.5000  0.5000  4 Li 4.32
Li  0.1043  0.6043  0.5000  1 Li 3.11
Li  0.3957  0.1043  0.5000  1 Li 3.11
Li  0.6043  0.8957  0.5000  1 Li 3.11
Li  0.8957  0.3957  0.5000  1 Li 3.11

Properties
Total magnetic moment, μB/cell: 0.0
V, Å³/f.u.: 342.45

B | The following is a PBE-GGA calculation of a relaxed Cs2RbLi2 crystal, from Alexandria via LeMat-Bulk.

Cell: 12.0505 12.0505 4.5700 Å, 90.00 90.00 90.00°
Closest atoms and distances in Å follow each position.
Sites, in units of the cell vectors:
Cs  0.1351  0.3649  0.0000  6 Li 4.12-4.28, 3 Cs 4.57-4.60
Cs  0.3649  0.8649  0.0000  6 Li 4.12-4.28, 3 Cs 4.57-4.60
Cs  0.6351  0.1351  0.0000  6 Li 4.12-4.28, 3 Cs 4.57-4.60
Cs  0.8649  0.6351  0.0000  6 Li 4.12-4.28, 3 Cs 4.57-4.60
Rb  0.0000  0.0000  0.0000  2 Rb 4.57, 4 Cs 4.69, 8 Li 5.05
Rb  0.5000  0.5000  0.0000  2 Rb 4.57, 4 Cs 4.69, 8 Li 5.05
Li  0.1640  0.6640  0.5000  6 Cs 4.12-4.28, 2 Li 4.57
Li  0.3360  0.1640  0.5000  6 Cs 4.12-4.28, 2 Li 4.57
Li  0.6640  0.8360  0.5000  6 Cs 4.12-4.28, 2 Li 4.57
Li  0.8360  0.3360  0.5000  6 Cs 4.12-4.28, 2 Li 4.57

Properties
Total magnetic moment, μB/cell: 0.0
V, Å³/f.u.: 331.82

C | The following is a PBE-GGA calculation of a relaxed Cs2RbLi2 crystal, from Alexandria via LeMat-Bulk.

Cell: 15.8470 15.8470 15.8470 Å, 163.34 163.34 23.65°
Closest atoms and distances in Å follow each position.
Sites, in units of the cell vectors:
Cs  0.1376  0.1376  0.0000  4 Li 4.18, 4 Cs 4.59
Cs  0.8624  0.8624  0.0000  4 Li 4.18, 4 Cs 4.59
Rb  0.5000  0.5000  0.0000  4 Rb 4.59
Li  0.2500  0.7500  0.5000  4 Li 3.25
Li  0.7500  0.2500  0.5000  4 Li 3.25

Properties
Total magnetic moment, μB/cell: 0.0
V, Å³/f.u.: 327.21

Top of the stability list: C, leading by 17 meV per atom.